[1]
This record from Alexandria via LeMat-Bulk describes a relaxed SiPIr crystal. The functional is PBE-GGA.

Unit cell a=6.2720 b=4.5448 c=6.3087 alpha=90.00 beta=90.00 gamma=90.00
Last column: nearest neighbours and their distance in Å.
Positions (direct):
Si 0.1051 0.2500 0.1328  1 P 2.38, 4 Ir 2.41-2.60
Si 0.3949 0.7500 0.6328  1 P 2.38, 4 Ir 2.41-2.60
Si 0.6051 0.2500 0.3672  1 P 2.38, 4 Ir 2.41-2.60
Si 0.8949 0.7500 0.8672  1 P 2.38, 4 Ir 2.41-2.60
P 0.1227 0.7500 0.3693  1 Si 2.38, 4 Ir 2.45-2.54
P 0.3773 0.2500 0.8693  1 Si 2.38, 4 Ir 2.45-2.54
P 0.6227 0.7500 0.1307  1 Si 2.38, 4 Ir 2.45-2.54
P 0.8773 0.2500 0.6307  1 Si 2.38, 4 Ir 2.45-2.54
Ir 0.2454 0.2500 0.4999  4 Si 2.41-2.60, 4 P 2.45-2.54
Ir 0.2546 0.7500 0.9999  4 Si 2.41-2.60, 4 P 2.45-2.54
Ir 0.7454 0.2500 0.0001  4 Si 2.41-2.60, 4 P 2.45-2.54
Ir 0.7546 0.7500 0.5001  4 Si 2.41-2.60, 4 P 2.45-2.54

Summary:
The uncorrected formation energy is -0.398 eV per atom. Its space group is Pnma (62). The calculation puts the total magnetic moment at 0.0 μB per cell.



[2]
This record from Alexandria via LeMat-Bulk describes a relaxed Sm2SiPIr6 crystal. The functional is PBE-GGA.

Unit cell a=5.4488 b=8.6343 c=7.8856 alpha=90.00 beta=90.00 gamma=90.00
Last column: nearest neighbours and their distance in Å.
Positions (direct):
Sm 0.2500 0.0185 0.2156  9 Ir 3.06-3.31, 2 Si 3.38
Sm 0.2500 0.4815 0.2156  9 Ir 3.06-3.31, 2 Si 3.38
Sm 0.7500 0.5185 0.7844  9 Ir 3.06-3.31, 2 Si 3.38
Sm 0.7500 0.9815 0.7844  9 Ir 3.06-3.31, 2 Si 3.38
Si 0.2500 0.7500 0.7641  6 Ir 2.41-2.50
Si 0.7500 0.2500 0.2359  6 Ir 2.41-2.50
P 0.2500 0.2500 0.7459  6 Ir 2.32-2.44
P 0.7500 0.7500 0.2541  6 Ir 2.32-2.44
Ir 0.0041 0.7500 0.4995  1 P 2.38, 1 Si 2.48
Ir 0.0088 0.7500 0.0208  1 P 2.32, 1 Si 2.41
Ir 0.2500 0.9997 0.6036  1 P 2.44, 1 Si 2.50, 4 Ir 2.67-2.69
Ir 0.2500 0.5003 0.6036  1 P 2.44, 1 Si 2.50, 4 Ir 2.67-2.69
Ir 0.4912 0.7500 0.0208  1 P 2.32, 1 Si 2.41
Ir 0.4959 0.7500 0.4995  1 P 2.38, 1 Si 2.48
Ir 0.5041 0.2500 0.5005  1 P 2.38, 1 Si 2.48
Ir 0.5088 0.2500 0.9792  1 P 2.32, 1 Si 2.41
Ir 0.7500 0.0003 0.3964  1 P 2.44, 1 Si 2.50, 4 Ir 2.67-2.69
Ir 0.7500 0.4997 0.3964  1 P 2.44, 1 Si 2.50, 4 Ir 2.67-2.69
Ir 0.9912 0.2500 0.9792  1 P 2.32, 1 Si 2.41
Ir 0.9959 0.2500 0.5005  1 P 2.38, 1 Si 2.48

Summary:
The uncorrected formation energy is -0.559 eV per atom. Its space group is Pmmn (59). The calculation puts the total magnetic moment at 0.0 μB per cell.



[3]
This record from Alexandria via LeMat-Bulk describes a relaxed SiSnPIr2 crystal. The functional is PBE-GGA.

Unit cell a=4.4555 b=4.4555 c=5.1519 alpha=90.00 beta=90.00 gamma=90.00
Last column: nearest neighbours and their distance in Å.
Positions (direct):
Si 0.0000 0.0000 0.0000  4 Ir 2.23
Sn 0.0000 0.0000 0.5000  2 Si 2.58
P 0.5000 0.5000 0.5000  4 Sn 3.15, 8 Ir 3.41
Ir 0.0000 0.5000 0.0000  2 Si 2.23
Ir 0.5000 0.0000 0.0000  2 Si 2.23

Summary:
The uncorrected formation energy is 0.971 eV per atom. Its space group is P4/mmm (123). The calculation puts the total magnetic moment at 0.0 μB per cell.



[4]
This record from Alexandria via LeMat-Bulk describes a relaxed SiTeP2Ir crystal. The functional is PBE-GGA.

Unit cell a=4.3758 b=4.3758 c=5.0196 alpha=90.00 beta=90.00 gamma=90.00
Last column: nearest neighbours and their distance in Å.
Positions (direct):
Si 0.0000 0.0000 0.0000  4 P 2.19
Te 0.0000 0.0000 0.5000  2 Si 2.51
P 0.0000 0.5000 0.0000  2 Si 2.19
P 0.5000 0.0000 0.0000  2 Si 2.19
Ir 0.5000 0.5000 0.5000  4 Te 3.09, 8 P 3.33

Summary:
The uncorrected formation energy is 1.088 eV per atom. Its space group is P4/mmm (123). The calculation puts the total magnetic moment at 0.0 μB per cell.



[5]
This record from Alexandria via LeMat-Bulk describes a relaxed TiSiP2Ir crystal. The functional is PBE-GGA.

Unit cell a=4.3215 b=4.3215 c=4.5369 alpha=90.00 beta=90.00 gamma=90.00
Last column: nearest neighbours and their distance in Å.
Positions (direct):
Ti 0.0000 0.0000 0.0000  2 Si 2.27
Si 0.0000 0.0000 0.5000  4 P 2.16, 2 Ti 2.27
P 0.0000 0.5000 0.5000  2 Si 2.16
P 0.5000 0.0000 0.5000  2 Si 2.16
Ir 0.5000 0.5000 0.0000  4 Ti 3.06, 8 P 3.13

Summary:
The uncorrected formation energy is 0.890 eV per atom. Its space group is P4/mmm (123). The calculation puts the total magnetic moment at 0.0 μB per cell.



[6]
This record from Alexandria via LeMat-Bulk describes a relaxed Tm2SiPIr6 crystal. The functional is PBE-GGA.

Unit cell a=5.3781 b=8.5346 c=7.9206 alpha=90.00 beta=90.00 gamma=90.00
Last column: nearest neighbours and their distance in Å.
Positions (direct):
Tm 0.2500 0.0250 0.2095  9 Ir 3.04-3.10, 2 Si 3.31
Tm 0.2500 0.4750 0.2095  9 Ir 3.04-3.10, 2 Si 3.31
Tm 0.7500 0.5250 0.7905  9 Ir 3.04-3.10, 2 Si 3.31
Tm 0.7500 0.9750 0.7905  9 Ir 3.04-3.10, 2 Si 3.31
Si 0.2500 0.7500 0.7796  6 Ir 2.36-2.62
Si 0.7500 0.2500 0.2204  6 Ir 2.36-2.62
P 0.2500 0.2500 0.7364  6 Ir 2.30-2.53
P 0.7500 0.7500 0.2636  6 Ir 2.30-2.53
Ir 0.0039 0.2500 0.4637  1 Si 2.36, 1 P 2.53, 2 Ir 2.64
Ir 0.0067 0.7500 0.0310  1 P 2.30, 1 Si 2.38
Ir 0.2500 0.0074 0.6004  1 P 2.33
Ir 0.2500 0.4926 0.6004  1 P 2.33
Ir 0.4933 0.7500 0.0310  1 P 2.30, 1 Si 2.38
Ir 0.4961 0.2500 0.4637  1 Si 2.36, 1 P 2.53, 2 Ir 2.64
Ir 0.5039 0.7500 0.5363  1 Si 2.36, 1 P 2.53, 2 Ir 2.64
Ir 0.5067 0.2500 0.9690  1 P 2.30, 1 Si 2.38
Ir 0.7500 0.5074 0.3996  1 P 2.33
Ir 0.7500 0.9926 0.3996  1 P 2.33
Ir 0.9933 0.2500 0.9690  1 P 2.30, 1 Si 2.38
Ir 0.9961 0.7500 0.5363  1 Si 2.36, 1 P 2.53, 2 Ir 2.64

Summary:
The uncorrected formation energy is -0.553 eV per atom. Its space group is Pmmn (59). The calculation puts the total magnetic moment at 0.0 μB per cell.



[7]
This record from Alexandria via LeMat-Bulk describes a relaxed U2SiPIr6 crystal. The functional is PBE-GGA.

Unit cell a=5.4759 b=8.3912 c=7.8456 alpha=90.00 beta=90.00 gamma=90.00
Last column: nearest neighbours and their distance in Å.
Positions (direct):
U 0.2500 0.0149 0.2273  9 Ir 3.01-3.15
U 0.2500 0.4851 0.2273  9 Ir 3.01-3.15
U 0.7500 0.5149 0.7727  9 Ir 3.01-3.15
U 0.7500 0.9851 0.7727  9 Ir 3.01-3.15
Si 0.2500 0.7500 0.7686  6 Ir 2.37-2.44
Si 0.7500 0.2500 0.2314  6 Ir 2.37-2.44
P 0.2500 0.2500 0.7478  6 Ir 2.31-2.45
P 0.7500 0.7500 0.2522  6 Ir 2.31-2.45
Ir 0.0026 0.2500 0.4882  1 Si 2.44, 1 P 2.45, 5 Ir 2.65-2.71
Ir 0.0038 0.7500 0.0177  1 P 2.31, 1 Si 2.37
Ir 0.2500 0.0014 0.6150  1 P 2.33, 1 Si 2.43
Ir 0.2500 0.4986 0.6150  1 P 2.33, 1 Si 2.43
Ir 0.4962 0.7500 0.0177  1 P 2.31, 1 Si 2.37
Ir 0.4974 0.2500 0.4882  1 Si 2.44, 1 P 2.45, 5 Ir 2.65-2.71
Ir 0.5026 0.7500 0.5118  1 Si 2.44, 1 P 2.45, 5 Ir 2.65-2.71
Ir 0.5038 0.2500 0.9823  1 P 2.31, 1 Si 2.37
Ir 0.7500 0.5014 0.3850  1 P 2.33, 1 Si 2.43
Ir 0.7500 0.9986 0.3850  1 P 2.33, 1 Si 2.43
Ir 0.9962 0.2500 0.9823  1 P 2.31, 1 Si 2.37
Ir 0.9974 0.7500 0.5118  1 Si 2.44, 1 P 2.45, 5 Ir 2.65-2.71

Summary:
The uncorrected formation energy is -0.427 eV per atom. Its space group is Pmmn (59). The calculation puts the total magnetic moment at 6.6 μB per cell.



[8]
This record from Alexandria via LeMat-Bulk describes a relaxed SiPIr2W crystal. The functional is PBE-GGA.

Unit cell a=4.3715 b=4.3715 c=4.4671 alpha=90.00 beta=90.00 gamma=90.00
Last column: nearest neighbours and their distance in Å.
Positions (direct):
Si 0.0000 0.0000 0.0000  2 P 2.23
P 0.0000 0.0000 0.5000  4 Ir 2.19, 2 Si 2.23
Ir 0.0000 0.5000 0.5000  2 P 2.19
Ir 0.5000 0.0000 0.5000  2 P 2.19
W 0.5000 0.5000 0.0000  4 Si 3.09, 8 Ir 3.13

Summary:
The uncorrected formation energy is 1.147 eV per atom. Its space group is P4/mmm (123). The calculation puts the total magnetic moment at 2.3 μB per cell.